1.
First-principles (PBE-GGA) data for an optimized crystal structure of ErHBrCl, as listed in the Open Quantum Materials Database.

Properties
As for the theoretical density: 5402 kg/m3. Its total energy is -35.97 eV for the cell shown. As for the symmetry: No. 187. The value obtained for the magnetic moment is 0.00 μB per formula unit.

CIF file:
```
data_ErHBrCl
_symmetry_space_group_name_H-M 'P 1'
_symmetry_Int_Tables_number 1
_cell_length_a 3.7454
_cell_length_b 3.7454
_cell_length_c 14.3520
_cell_angle_alpha 90.00
_cell_angle_beta 90.00
_cell_angle_gamma 120.00
loop_
_symmetry_equiv_pos_as_xyz
'x,y,z'
loop_
_atom_site_label
_atom_site_type_symbol
_atom_site_fract_x
_atom_site_fract_y
_atom_site_fract_z
_atom_site_occupancy
Er1 Er 0.0000 0.0000 0.0000 1
Er2 Er 0.0000 0.0000 0.5000 1
H1 H 0.3333 0.6667 0.0000 1
H2 H 0.6667 0.3333 0.5000 1
Br1 Br 0.6667 0.3333 0.1338 1
Br2 Br 0.6667 0.3333 0.8662 1
Cl1 Cl 0.3333 0.6667 0.3792 1
Cl2 Cl 0.3333 0.6667 0.6208 1
```



2.
First-principles (PBE-GGA) data for an optimized crystal structure of Er2H2BrClO2, as listed in the Open Quantum Materials Database.

Properties
As for the theoretical density: 6418 kg/m3. Its total energy is -42.24 eV for the cell shown. As for the symmetry: No. 156. The value obtained for the magnetic moment is 1.66 μB per formula unit.

CIF file:
```
data_Er2H2BrClO2
_symmetry_space_group_name_H-M 'P 1'
_symmetry_Int_Tables_number 1
_cell_length_a 3.8473
_cell_length_b 3.8473
_cell_length_c 9.7674
_cell_angle_alpha 90.00
_cell_angle_beta 90.00
_cell_angle_gamma 120.00
loop_
_symmetry_equiv_pos_as_xyz
'x,y,z'
loop_
_atom_site_label
_atom_site_type_symbol
_atom_site_fract_x
_atom_site_fract_y
_atom_site_fract_z
_atom_site_occupancy
Er1 Er 0.0000 0.0000 0.0000 1
Er2 Er 0.3333 0.6667 0.4748 1
H1 H 0.6667 0.3333 0.3057 1
H2 H 0.6667 0.3333 0.8272 1
Br1 Br 0.0000 0.0000 0.6761 1
Cl1 Cl 0.3333 0.6667 0.1761 1
O1 O 0.6667 0.3333 0.4062 1
O2 O 0.6667 0.3333 0.9274 1
```